[1]
## Ac3SiI3 (PBE)

Data for a relaxed structure of Ac3SiI3.

abc: 9.6195 4.6005 13.2449
angles: 90.00 90.93 90.00
Atoms (fractional coordinates):
Ac: 0.0979 0.2500 0.3855
Ac: 0.1222 0.2500 0.8467
Ac: 0.3311 0.7500 0.6217
Ac: 0.6689 0.2500 0.3783
Ac: 0.8778 0.7500 0.1533
Ac: 0.9021 0.7500 0.6145
Si: 0.1226 0.2500 0.6210
Si: 0.8774 0.7500 0.3790
I: 0.1349 0.2500 0.1181
I: 0.3757 0.7500 0.8771
I: 0.3816 0.7500 0.3645
I: 0.6184 0.2500 0.6355
I: 0.6243 0.2500 0.1229
I: 0.8651 0.7500 0.8819

Computed properties:
space-group type: P2_1/m
energy relative to the elements, uncorrected: -8.119 eV/f.u.
crystal system: monoclinic
E above lowest polymorph: 0.0 meV/atom

[2]
## Ac4Si2I3 (PBE)

Data for a relaxed structure of Ac4Si2I3.

abc: 4.6324 4.6324 19.8803
angles: 90.05 90.05 60.00
Atoms (fractional coordinates):
Ac: 0.0008 0.0008 0.2904
Ac: 0.3337 0.3337 0.1218
Ac: 0.6663 0.6663 0.8782
Ac: 0.9992 0.9992 0.7096
Si: 0.3328 0.3328 0.7979
Si: 0.6672 0.6672 0.2021
I: 0.0000 0.0000 0.0000
I: 0.3344 0.3344 0.3978
I: 0.6656 0.6656 0.6022

Computed properties:
space-group type: C2/m
energy relative to the elements, uncorrected: -9.499 eV/f.u.
crystal system: monoclinic
E above lowest polymorph: 0.0 meV/atom

[3]
## Ac4Si2I5 (PBE)

Data for a relaxed structure of Ac4Si2I5.

abc: 12.6145 12.6145 9.1905
angles: 91.67 91.67 20.69
Atoms (fractional coordinates):
Ac: 0.0094 0.0094 0.2101
Ac: 0.3401 0.3401 0.9440
Ac: 0.6599 0.6599 0.0560
Ac: 0.9906 0.9906 0.7899
Si: 0.4539 0.4539 0.0130
Si: 0.5461 0.5461 0.9870
I: 0.1441 0.1441 0.3189
I: 0.2055 0.2055 0.8151
I: 0.5000 0.5000 0.5000
I: 0.7945 0.7945 0.1849
I: 0.8559 0.8559 0.6811

Computed properties:
space-group type: C2/m
energy relative to the elements, uncorrected: -12.085 eV/f.u.
crystal system: monoclinic

[4]
## Ac4SiI5 (PBE)

Data for a relaxed structure of Ac4SiI5.

abc: 10.5629 10.5629 9.5685
angles: 102.77 102.77 24.93
Atoms (fractional coordinates):
Ac: 0.9998 0.9998 0.2162
Ac: 0.0002 0.0002 0.7838
Ac: 0.3504 0.3504 0.9228
Ac: 0.6496 0.6496 0.0772
Si: 0.5000 0.5000 0.0000
I: 0.1677 0.1677 0.3405
I: 0.1716 0.1716 0.8268
I: 0.5000 0.5000 0.5000
I: 0.8284 0.8284 0.1732
I: 0.8323 0.8323 0.6595

Computed properties:
space-group type: C2/m
energy relative to the elements, uncorrected: -12.427 eV/f.u.
crystal system: monoclinic

[5]
## Ac4Si2I3 (PBE)

Data for a relaxed structure of Ac4Si2I3.

abc: 10.7771 10.7771 6.4185
angles: 92.98 92.98 79.57
Atoms (fractional coordinates):
Ac: 0.0550 0.6857 0.9950
Ac: 0.2049 0.4097 0.5508
Ac: 0.3143 0.9450 0.5050
Ac: 0.4097 0.2049 0.0508
Ac: 0.5903 0.7951 0.9492
Ac: 0.6857 0.0550 0.4950
Ac: 0.7951 0.5903 0.4492
Ac: 0.9450 0.3143 0.0050
Si: 0.1852 0.4154 0.0618
Si: 0.4154 0.1852 0.5618
Si: 0.5846 0.8148 0.4382
Si: 0.8148 0.5846 0.9382
I: 0.0062 0.8019 0.4907
I: 0.1981 0.9938 0.0093
I: 0.3475 0.6525 0.7500
I: 0.6525 0.3475 0.2500
I: 0.8019 0.0062 0.9907
I: 0.9938 0.1981 0.5093

Computed properties:
space-group type: C2/c
energy relative to the elements, uncorrected: -7.211 eV/f.u.
crystal system: monoclinic
E above lowest polymorph: 254.2 meV/atom

[6]
## Ac5Si2I2 (PBE)

Data for a relaxed structure of Ac5Si2I2.

abc: 9.5741 9.5741 8.6629
angles: 90.00 90.00 53.69
Atoms (fractional coordinates):
Ac: 0.0000 0.0000 0.0000
Ac: 0.0371 0.7279 0.6551
Ac: 0.2279 0.5371 0.1551
Ac: 0.2721 0.9629 0.6551
Ac: 0.4629 0.7721 0.1551
Ac: 0.5000 0.5000 0.5000
Ac: 0.5371 0.2279 0.8449
Ac: 0.7279 0.0371 0.3449
Ac: 0.7721 0.4629 0.8449
Ac: 0.9629 0.2721 0.3449
Si: 0.1502 0.8498 0.3498
Si: 0.3498 0.6502 0.8498
Si: 0.6502 0.3498 0.1502
Si: 0.8498 0.1502 0.6502
I: 0.2031 0.2031 0.0000
I: 0.2969 0.2969 0.5000
I: 0.7031 0.7031 0.5000
I: 0.7969 0.7969 0.0000

Computed properties:
space-group type: Cmce
energy relative to the elements, uncorrected: -6.068 eV/f.u.
crystal system: orthorhombic

Result set for DFT total energy: -4.360 -4.603 -4.283 -4.203 -4.349 -4.506 eV per atom, one per record in the order listed.